(1)
Crystalline Pm5CdAg4 at its relaxed geometry. Source: the Alexandria database, functional PBE.

Lattice parameters (Å, degrees): 3.744 3.744 18.796 90.00 90.00 90.00
Positions (direct):
Pm 0.500 0.500 0.105
Pm 0.500 0.500 0.302
Pm 0.500 0.500 0.500
Pm 0.500 0.500 0.698
Pm 0.500 0.500 0.895
Cd 0.000 0.000 0.000
Ag 0.000 0.000 0.203
Ag 0.000 0.000 0.402
Ag 0.000 0.000 0.598
Ag 0.000 0.000 0.797

Properties
Volume, Å³ per cell: 264
Space group: P4/mmm
ΔH_f (0 K), eV per formula unit: -2.81
Total magnetization, μB per cell: 0.01


(2)
Crystalline Tb4Ru3Pt at its relaxed geometry. Source: the Alexandria database, functional PBE.

Lattice parameters (Å, degrees): 3.456 4.863 9.647 90.00 90.00 90.00
Positions (direct):
Ru 0.500 0.000 0.249
Ru 0.500 0.500 0.500
Ru 0.500 0.000 0.751
Tb 0.000 0.000 0.500
Tb 0.000 0.500 0.744
Tb 0.000 0.000 0.000
Tb 0.000 0.500 0.256
Pt 0.500 0.500 0.000

Properties
Volume, Å³ per cell: 162
Space group: Pmmm
ΔH_f (0 K), eV per formula unit: -4.40
Total magnetization, μB per cell: 0.00


(3)
Crystalline Ba2Li2MgHg5 at its relaxed geometry. Source: the Alexandria database, functional PBE.

Lattice parameters (Å, degrees): 4.003 11.513 11.513 90.00 90.00 90.00
Positions (direct):
Ba 0.000 0.683 0.183
Ba 0.000 0.317 0.817
Ba 0.000 0.183 0.317
Ba 0.000 0.817 0.683
Li 0.000 0.117 0.617
Li 0.000 0.883 0.383
Li 0.000 0.617 0.883
Li 0.000 0.383 0.117
Mg 0.000 0.000 0.000
Mg 0.000 0.500 0.500
Hg 0.500 0.197 0.053
Hg 0.500 0.803 0.947
Hg 0.500 0.053 0.803
Hg 0.500 0.697 0.447
Hg 0.500 0.947 0.197
Hg 0.500 0.303 0.553
Hg 0.500 0.553 0.697
Hg 0.500 0.447 0.303
Hg 0.500 0.500 0.000
Hg 0.500 0.000 0.500

Properties
Volume, Å³ per cell: 531
Space group: P4/mbm
ΔH_f (0 K), eV per formula unit: -3.63
Total magnetization, μB per cell: 0.00


(4)
Crystalline Pr2Zn3GePt4 at its relaxed geometry. Source: the Alexandria database, functional PBE.

Lattice parameters (Å, degrees): 4.336 4.336 10.322 90.00 90.00 90.00
Positions (direct):
Pr 0.500 0.000 0.248
Pr 0.000 0.500 0.752
Zn 0.000 0.000 0.500
Zn 0.500 0.000 0.867
Zn 0.000 0.500 0.133
Ge 0.500 0.500 0.500
Pt 0.500 0.500 0.000
Pt 0.000 0.000 0.000
Pt 0.500 0.000 0.627
Pt 0.000 0.500 0.373

Properties
Volume, Å³ per cell: 194
Space group: P-4m2
ΔH_f (0 K), eV per formula unit: -7.96
Total magnetization, μB per cell: 0.00


(5)
Crystalline Tb3Ce2PrTe6 at its relaxed geometry. Source: the Alexandria database, functional PBE.

Lattice parameters (Å, degrees): 4.400 8.964 9.960 103.98 102.76 90.00
Site moments in Bohr magnetons follow the coordinates.
Positions (direct):
Tb 0.500 0.500 0.000  0.01
Tb 0.835 0.167 0.671  0.01
Tb 0.165 0.833 0.329  0.01
Ce 0.833 0.666 0.666  1.01
Ce 0.167 0.334 0.334  1.01
Pr 0.500 0.000 0.000  0.03
Te 0.330 0.921 0.659  -0.01
Te 0.664 0.589 0.329  -0.01
Te 0.670 0.079 0.341  -0.01
Te 0.999 0.258 0.998  0.00
Te 0.001 0.742 0.002  0.00
Te 0.336 0.411 0.671  -0.01

Properties
Volume, Å³ per cell: 371
Space group: C2/m
Total magnetization, μB per cell: 2.57
Energy relative to the elements, uncorrected, eV per formula unit: -16.3


(6)
Crystalline Li6Cd3Au at its relaxed geometry. Source: the Alexandria database, functional PBE.

Lattice parameters (Å, degrees): 4.979 8.729 8.729 100.98 90.00 90.00
Positions (direct):
Li 0.019 0.684 0.557
Li 0.519 0.557 0.684
Li 0.462 0.587 0.010
Li 0.962 0.010 0.587
Li 0.267 0.960 0.040
Li 0.615 0.239 0.761
Li 0.115 0.761 0.239
Li 0.767 0.040 0.960
Li 0.462 0.990 0.413
Li 0.962 0.413 0.990
Li 0.019 0.443 0.316
Li 0.519 0.316 0.443
Cd 0.465 0.872 0.705
Cd 0.965 0.705 0.872
Cd 0.039 0.369 0.631
Cd 0.539 0.631 0.369
Cd 0.965 0.128 0.295
Cd 0.465 0.295 0.128
Au 0.173 0.156 0.844
Au 0.673 0.844 0.156

Properties
Volume, Å³ per cell: 372
Space group: Cmc2_1
ΔH_f (0 K), eV per formula unit: -2.26
Total magnetization, μB per cell: 0.00
E above lowest polymorph, meV/atom: 75